# NaCu3Se (PBE-GGA, optimized geometry)
# Relative energy among the computed polymorphs, meV per atom: 0
# D(E_F), states/eV/atom: 0.430
# Size of the total moment, μB/f.u.: 0.000
# Uncorrected formation energy, eV per formula unit: 1.86
data_NaCu3Se
_chemical_formula_sum 'Na1 Cu3 Se1'
_space_group_name_H-M_alt 'P m -3 m'
_space_group_IT_number 221
_space_group_name_Hall '-P 4 2 3'
_cell_length_a 4.711
_cell_length_b 4.711
_cell_length_c 4.711
_cell_angle_alpha 90.00
_cell_angle_beta 90.00
_cell_angle_gamma 90.00
loop_
_atom_site_label
_atom_site_type_symbol
_atom_site_fract_x
_atom_site_fract_y
_atom_site_fract_z
Na1 Na 0.000 0.000 0.000
Cu1 Cu 0.000 0.500 0.500
Se1 Se 0.500 0.500 0.500